Ce5ErSn5: relaxed, PBE.

abc: 14.2303 6.3034 8.7119
angles: 90.00 107.92 90.00
Space group C2/m (No. 12)
One atom of each set of equivalent atoms:
Ce: 0.0000 0.0000 0.0000 (multiplicity 2)
Ce: 0.1644 0.5000 0.3302 (multiplicity 4)
Ce: 0.1660 0.5000 0.8342 (multiplicity 4)
Er: 0.0000 0.0000 0.5000 (multiplicity 2)
Sn: 0.0000 0.5000 0.5000 (multiplicity 2)
Sn: 0.1651 0.0000 0.8328 (multiplicity 4)
Sn: 0.1667 0.0000 0.3333 (multiplicity 4)

Output
Total moment   3.54 μB/f.u.
ρ   6.5 g/cm3
Crystal system   monoclinic
Uncorrected energy   -5.26 eV per atom
Fermi-level density of states   27.8 states/eV/f.u.